Material: SmY2OsN4
Method: DFT, PBE
State: optimized geometry

a b c (Å): 3.4207 6.0896 11.7164
angles (deg): 90.00 90.00 106.31
Fractional coordinates of all 16 atoms:
1 Sm 0.1243 0.2486 0.7500
2 Sm 0.8757 0.7514 0.2500
3 Y 0.3686 0.7373 0.5412
4 Y 0.6314 0.2627 0.0412
5 Y 0.6314 0.2627 0.4588
6 Y 0.3686 0.7373 0.9588
7 Os 0.8603 0.7206 0.7500
8 Os 0.1397 0.2794 0.2500
9 N 0.2675 0.5350 0.1300
10 N 0.7325 0.4650 0.6300
11 N 0.7325 0.4650 0.8700
12 N 0.2675 0.5350 0.3700
13 N 0.0000 0.0000 0.5000
14 N 0.0000 0.0000 0.0000
15 N 0.4441 0.8882 0.7500
16 N 0.5559 0.1118 0.2500

SG: Cmcm (63)
Calculated volume: 14.64 A^3/atom
Formation energy without anion corrections: -0.943 eV per atom
Crystal system: orthorhombic

=====

Material: Sn3OsN
Method: DFT, PBE
State: optimized geometry

a b c (Å): 4.5454 4.5454 4.5454
angles (deg): 90.00 90.00 90.00
Fractional coordinates of all 5 atoms:
1 Os 0.5000 0.5000 0.5000
2 Sn 0.0000 0.5000 0.0000
3 Sn 0.0000 0.0000 0.5000
4 Sn 0.5000 0.0000 0.0000
5 N 0.0000 0.0000 0.0000

SG: Pm-3m (221)
Calculated volume: 18.78 A^3/atom
Formation energy without anion corrections: 0.953 eV per atom
Energy above the most stable polymorph in this dataset: 0.000 eV per atom
Crystal system: cubic

=====

Material: SnOs2N
Method: DFT, PBE
State: optimized geometry

a b c (Å): 5.4661 5.4661 6.0532
angles (deg): 63.16 63.16 90.00
Fractional coordinates of all 8 atoms:
1 Os 0.5075 0.1250 0.2500
2 Os 0.2425 0.6250 0.2500
3 Os 0.3750 0.4925 0.7500
4 Os 0.8750 0.7575 0.7500
5 Sn 0.0000 0.0000 0.0000
6 Sn 0.7500 0.2500 0.5000
7 N 0.5000 0.5000 0.0000
8 N 0.2500 0.7500 0.5000

SG: I-42d (122)
Calculated volume: 17.40 A^3/atom
Formation energy without anion corrections: 0.722 eV per atom
Energy above the most stable polymorph in this dataset: 0.000 eV per atom
Crystal system: tetragonal

=====

Material: Sn3OsN
Method: DFT, PBE
State: optimized geometry

a b c (Å): 5.0887 5.0887 5.0887
angles (deg): 90.00 90.00 90.00
Fractional coordinates of all 5 atoms:
1 Os 0.0000 0.0000 0.0000
2 Sn 0.0000 0.5000 0.0000
3 Sn 0.0000 0.0000 0.5000
4 Sn 0.5000 0.0000 0.0000
5 N 0.5000 0.5000 0.5000

SG: Pm-3m (221)
Calculated volume: 26.35 A^3/atom
Formation energy without anion corrections: 1.086 eV per atom
Energy above the most stable polymorph in this dataset: 0.133 eV per atom
Crystal system: cubic

=====

Material: SnOsN
Method: DFT, PBE
State: optimized geometry

a b c (Å): 3.2055 3.2055 13.2950
angles (deg): 90.00 90.00 120.00
Fractional coordinates of all 6 atoms:
1 Sn 0.0000 0.0000 0.4153
2 Sn 0.0000 0.0000 0.9153
3 Os 0.6667 0.3333 0.7345
4 Os 0.3333 0.6667 0.2345
5 N 0.3333 0.6667 0.6948
6 N 0.6667 0.3333 0.1948

SG: P6_3mc (186)
Calculated volume: 19.72 A^3/atom
Formation energy without anion corrections: 0.456 eV per atom
Crystal system: hexagonal

=====

Material: SnOs2N
Method: DFT, PBE
State: optimized geometry

a b c (Å): 4.3402 4.3402 4.3402
angles (deg): 60.00 60.00 60.00
Fractional coordinates of all 4 atoms:
1 Os 0.2500 0.2500 0.2500
2 Os 0.7500 0.7500 0.7500
3 Sn 0.5000 0.5000 0.5000
4 N 0.0000 0.0000 0.0000

SG: Fm-3m (225)
Calculated volume: 14.45 A^3/atom
Formation energy without anion corrections: 1.586 eV per atom
Energy above the most stable polymorph in this dataset: 0.863 eV per atom
Crystal system: cubic